! CaLaTbTh, relaxed, DFT GGA-PBE; values from VASP
! Calculated formation energy in eV per atom: 0.2262
! Total moment in Bohr magnetons per cell: 0.7
! DOS(E_F) in states/eV per atom: 2.087
&SYSTEM
  ibrav = 0, nat = 4, ntyp = 4
/
ATOMIC_SPECIES
Th 232.04 Th.upf
Tb 158.93 Tb.upf
La 138.91 La.upf
Ca 40.08 Ca.upf
CELL_PARAMETERS angstrom
-4.309 -2.119 -3.307
0.808 -4.903 -3.050
-2.744 -4.898 1.574
ATOMIC_POSITIONS crystal
Th 0.750 0.750 0.750
Tb 0.000 0.000 0.000
La 0.500 0.500 0.500
Ca 0.250 0.250 0.250

! Ba8Pd2Br, relaxed, DFT GGA-PBE; values from VASP
! Total moment in Bohr magnetons per cell: 1.9
! Formation energy (no corrections) in eV per atom: -0.33
! DOS(E_F) in states/eV per atom: 1.228
&SYSTEM
  ibrav = 0, nat = 11, ntyp = 3
/
ATOMIC_SPECIES
Ba 137.33 Ba.upf
Pd 106.42 Pd.upf
Br 79.90 Br.upf
CELL_PARAMETERS angstrom
6.759 0.000 0.000
-0.001 8.889 -5.136
0.000 -0.003 10.273
ATOMIC_POSITIONS crystal
Ba 0.246 0.667 0.333
Ba 0.256 0.673 0.835
Ba 0.754 0.333 0.667
Ba 0.256 0.165 0.838
Ba 0.744 0.835 0.162
Ba 0.256 0.162 0.327
Ba 0.744 0.838 0.673
Ba 0.744 0.327 0.165
Pd 0.252 0.333 0.667
Pd 0.748 0.667 0.333
Br 0.000 0.000 0.000

! Y2Ho3Er8, relaxed, DFT GGA-PBE; values from VASP
! Calculated formation energy in eV per atom: 0.1661
! Total moment in Bohr magnetons per cell: 0.0
! DOS(E_F) in states/eV per atom: 1.642
&SYSTEM
  ibrav = 0, nat = 13, ntyp = 3
/
ATOMIC_SPECIES
Er 167.26 Er.upf
Ho 164.93 Ho.upf
Y 88.91 Y.upf
CELL_PARAMETERS angstrom
-5.029 -0.677 -2.253
2.770 -3.272 -5.200
-0.012 -7.604 9.145
ATOMIC_POSITIONS crystal
Er 0.848 0.110 0.697
Er 0.152 0.413 0.303
Er 0.848 0.587 0.697
Er 0.575 0.575 0.149
Er 0.152 0.890 0.303
Er 0.682 0.182 0.364
Er 0.318 0.818 0.636
Er 0.425 0.425 0.851
Ho 0.000 0.736 0.000
Ho 0.000 0.264 0.000
Ho 0.500 0.000 0.000
Y 0.723 0.723 0.446
Y 0.277 0.277 0.554

! ScAg2W, relaxed, DFT GGA-PBE; values from VASP
! Calculated formation energy in eV per atom: 0.3527
! Total moment in Bohr magnetons per cell: 0.0
! DOS(E_F) in states/eV per atom: 0.858
&SYSTEM
  ibrav = 0, nat = 4, ntyp = 3
/
ATOMIC_SPECIES
Ag 107.87 Ag.upf
Sc 44.96 Sc.upf
W 183.84 W.upf
CELL_PARAMETERS angstrom
3.363 0.000 0.000
0.000 3.363 0.000
0.000 0.000 6.386
ATOMIC_POSITIONS crystal
Ag 0.000 0.000 0.996
Ag 0.500 0.500 0.240
Sc 0.000 0.000 0.500
W 0.500 0.500 0.763

! Er2Sc3Cu2, relaxed, DFT GGA-PBE; values from VASP
! Calculated formation energy in eV per atom: -0.0993
! Total moment in Bohr magnetons per cell: 0.0
! DOS(E_F) in states/eV per atom: 1.124
&SYSTEM
  ibrav = 0, nat = 7, ntyp = 3
/
ATOMIC_SPECIES
Sc 44.96 Sc.upf
Er 167.26 Er.upf
Cu 63.55 Cu.upf
CELL_PARAMETERS angstrom
-3.270 1.536 2.885
2.408 -4.863 1.614
4.104 5.900 1.512
ATOMIC_POSITIONS crystal
Sc 0.500 0.000 0.000
Sc 0.359 0.719 0.538
Sc 0.641 0.281 0.462
Er 0.866 0.732 0.214
Er 0.134 0.268 0.786
Cu 0.140 0.280 0.186
Cu 0.860 0.720 0.814

! Tb5Hg2HS, relaxed, DFT GGA-PBE; values from VASP
! Energy in eV/atom: -4.249
! Total moment in Bohr magnetons per cell: 0.5
! DOS(E_F) in states/eV per atom: 0.805
&SYSTEM
  ibrav = 0, nat = 18, ntyp = 4
/
ATOMIC_SPECIES
Hg 200.59 Hg.upf
Tb 158.93 Tb.upf
S 32.06 S.upf
H 1.01 H.upf
CELL_PARAMETERS angstrom
-1.123 -3.376 -1.723
4.265 -2.894 7.425
-10.913 0.360 6.409
ATOMIC_POSITIONS crystal
Hg 0.124 0.249 0.702
Hg 0.876 0.752 0.833
Hg 0.124 0.248 0.333
Hg 0.876 0.751 0.202
Tb 0.499 0.999 0.270
Tb 0.960 0.920 0.516
Tb 0.040 0.080 0.016
Tb 0.501 0.001 0.770
Tb 0.694 0.387 0.872
Tb 0.646 0.293 0.518
Tb 0.306 0.613 0.372
Tb 0.306 0.612 0.668
Tb 0.694 0.388 0.168
Tb 0.354 0.707 0.018
S 0.802 0.605 0.520
S 0.198 0.395 0.020
H 0.431 0.862 0.424
H 0.569 0.138 0.924

! Sr2PRh, relaxed, DFT GGA-PBE; values from VASP
! Calculated formation energy in eV per atom: -0.1126
! Total moment in Bohr magnetons per cell: 0.5
! DOS(E_F) in states/eV per atom: 1.610
&SYSTEM
  ibrav = 0, nat = 4, ntyp = 3
/
ATOMIC_SPECIES
Sr 87.62 Sr.upf
P 30.97 P.upf
Rh 102.91 Rh.upf
CELL_PARAMETERS angstrom
4.316 0.000 0.000
0.000 4.316 0.000
0.000 0.000 6.110
ATOMIC_POSITIONS crystal
Sr 0.500 0.500 0.376
Sr 0.000 0.000 0.873
P 0.000 0.000 0.373
Rh 0.500 0.500 0.877

! Pr2Er3Tm, relaxed, DFT GGA-PBE; values from VASP
! Calculated formation energy in eV per atom: 0.1266
! Total moment in Bohr magnetons per cell: 0.0
! DOS(E_F) in states/eV per atom: 1.616
&SYSTEM
  ibrav = 0, nat = 12, ntyp = 3
/
ATOMIC_SPECIES
Pr 140.91 Pr.upf
Er 167.26 Er.upf
Tm 168.93 Tm.upf
CELL_PARAMETERS angstrom
3.499 0.000 0.000
1.749 8.891 0.164
1.749 2.165 12.693
ATOMIC_POSITIONS crystal
Pr 0.180 0.518 0.121
Pr 0.820 0.482 0.879
Pr 0.345 0.841 0.469
Pr 0.655 0.159 0.531
Er 0.263 0.182 0.292
Er 0.039 0.131 0.792
Er 0.961 0.869 0.208
Er 0.402 0.170 0.026
Er 0.737 0.818 0.708
Er 0.598 0.830 0.974
Tm 0.563 0.517 0.358
Tm 0.437 0.483 0.642

! TePbSN2, relaxed, DFT GGA-PBE; values from VASP
! Total moment in Bohr magnetons per cell: 3.3
! Formation energy (no corrections) in eV per atom: 1.68
! DOS(E_F) in states/eV per atom: 0.886
&SYSTEM
  ibrav = 0, nat = 5, ntyp = 4
/
ATOMIC_SPECIES
N 14.01 N.upf
Pb 207.20 Pb.upf
S 32.06 S.upf
Te 127.60 Te.upf
CELL_PARAMETERS angstrom
4.369 0.000 0.000
0.000 4.369 0.000
0.000 0.000 5.711
ATOMIC_POSITIONS crystal
N 0.500 0.000 0.000
N 0.000 0.500 0.000
Pb 0.000 0.000 0.000
S 0.000 0.000 0.500
Te 0.500 0.500 0.500

! Ba2MgBeBr, relaxed, DFT GGA-PBE; values from VASP
! Total moment in Bohr magnetons per cell: 0.0
! Formation energy (no corrections) in eV per atom: -0.05
! DOS(E_F) in states/eV per atom: 1.169
&SYSTEM
  ibrav = 0, nat = 5, ntyp = 4
/
ATOMIC_SPECIES
Be 9.01 Be.upf
Mg 24.30 Mg.upf
Ba 137.33 Ba.upf
Br 79.90 Br.upf
CELL_PARAMETERS angstrom
6.611 0.000 0.000
0.000 4.594 0.000
0.000 0.000 6.611
ATOMIC_POSITIONS crystal
Be 0.000 0.500 0.000
Mg 0.000 0.000 0.000
Ba 0.000 0.000 0.500
Ba 0.500 0.000 0.000
Br 0.500 0.500 0.500

! Li3SbBr, relaxed, DFT GGA-PBE; values from VASP
! Total moment in Bohr magnetons per cell: 1.0
! Formation energy (no corrections) in eV per atom: -0.43
! DOS(E_F) in states/eV per atom: 1.031
&SYSTEM
  ibrav = 0, nat = 5, ntyp = 3
/
ATOMIC_SPECIES
Li 6.94 Li.upf
Br 79.90 Br.upf
Sb 121.76 Sb.upf
CELL_PARAMETERS angstrom
5.275 0.000 0.000
0.000 5.275 0.000
0.000 0.000 5.275
ATOMIC_POSITIONS crystal
Li 0.500 0.000 0.000
Li 0.000 0.000 0.500
Li 0.000 0.500 0.000
Br 0.500 0.500 0.500
Sb 0.000 0.000 0.000

! ZnTe2Pt, relaxed, DFT GGA-PBE; values from VASP
! Total moment in Bohr magnetons per cell: 0.0
! Formation energy (no corrections) in eV per atom: -0.07
! DOS(E_F) in states/eV per atom: 0.678
&SYSTEM
  ibrav = 0, nat = 4, ntyp = 3
/
ATOMIC_SPECIES
Te 127.60 Te.upf
Pt 195.08 Pt.upf
Zn 65.41 Zn.upf
CELL_PARAMETERS angstrom
6.834 -1.035 4.820
7.077 -4.091 2.047
8.356 -0.289 1.050
ATOMIC_POSITIONS crystal
Te 0.889 0.889 0.889
Te 0.111 0.111 0.111
Pt 0.500 0.500 0.500
Zn 0.000 0.000 0.000